The following is a DFT calculation (PBE) of a geometry-optimized Y2HO structure. Values from VASP.

Cell and atoms, written as Quantum ESPRESSO input:
```
&SYSTEM
  ibrav = 0, nat = 4, ntyp = 3
/
ATOMIC_SPECIES
Y 88.91 Y.upf
H 1.01 H.upf
O 16.00 O.upf
CELL_PARAMETERS angstrom
1.7202 0.9932 5.9329
-1.7202 0.9932 5.9329
0.0000 -1.9863 5.9329
ATOMIC_POSITIONS crystal
Y 0.0000 0.0000 0.0000
Y 0.1741 0.1741 0.1741
H 0.5800 0.5800 0.5800
O 0.7527 0.7527 0.7527
```

Output
V	15.2	A^3/atom
polymorph energy (0 for the lowest one)	132.9	meV/atom